1.
RbTiF5 | Alexandria | PBE-GGA | relaxed; electronic total energy = -5.9182 eV/atom; magnetization = 0.0 Bohr magnetons per cell
1.0
5.638 -4.043 0.000
5.638 4.043 0.000
-5.484 0.000 5.677
Rb Ti F
2 2 10
Cartesian
1.525 3.996 4.258
4.267 -3.996 1.419
5.638 0.000 0.000
2.896 0.000 2.839
5.577 1.857 0.059
1.561 0.002 1.545
-1.181 -0.002 4.383
2.957 1.857 2.779
1.525 0.106 4.258
4.267 -0.106 1.419
2.835 -1.857 2.898
6.973 0.002 1.294
4.231 -0.002 4.132
0.215 -1.857 5.618


2.
CaTaSe2F | Alexandria | PBE-GGA | relaxed; electronic total energy = -5.9433 eV/atom; magnetization = 0.0 Bohr magnetons per cell
1.0
5.130 0.000 0.000
0.000 5.130 0.000
0.000 0.000 4.116
Ca Ta Se F
1 1 2 1
Cartesian
0.000 0.000 0.000
2.565 2.565 2.058
0.000 2.565 2.058
2.565 0.000 2.058
2.565 2.565 0.000


3.
SrTcNiSbH | Alexandria | PBE-GGA | relaxed; electronic total energy = -5.0628 eV/atom; magnetization = 0.5 Bohr magnetons per cell
1.0
4.093 0.000 0.000
-2.019 4.523 0.000
-0.038 -0.988 5.014
Sr Tc Ni Sb H
1 1 1 1 1
Cartesian
0.000 0.000 0.000
2.023 0.803 2.950
2.032 1.859 0.729
0.019 2.560 2.374
2.878 1.213 4.430


4.
Pr3Cu | Alexandria | PBE-GGA | relaxed; electronic total energy = -4.6748 eV/atom; magnetization = 0.0 Bohr magnetons per cell
1.0
1.898 -6.202 0.000
1.898 6.202 0.000
0.000 0.000 10.145
Pr Cu
6 2
Cartesian
1.898 5.318 7.609
1.898 1.683 5.638
1.898 1.683 9.580
1.898 -1.683 0.565
1.898 -1.683 4.508
1.898 -5.318 2.536
1.898 3.284 2.536
1.898 -3.284 7.609


Q: Which value of electronic total energy does entry 3 give?
A: -5.0628 eV/atom


Q: Look up the magnetization of the second one.
A: 0.0 Bohr magnetons per cell